Below is a relaxed structure of Zr3ScMn, with properties calculated at the PBE level.

Lattice parameters (Å, degrees): 4.9390 4.9390 4.9390 90.00 90.00 90.00
Closest atoms and distances in Å follow each position.
Space group Pm-3m (No. 221)
Unique sites:
Zr (0.0000, 0.0000, 0.5000) [3 per cell]  2 Sc 2.47
Sc (0.0000, 0.0000, 0.0000) [1 per cell]  6 Zr 2.47
Mn (0.5000, 0.5000, 0.5000) [1 per cell]  12 Zr 3.49

Results
The calculation puts the energy of formation from the pure elements at 1658 meV per atom. As for the energy above the most stable polymorph in this dataset: 1383 meV per atom.